SmGe2Au | PBE | optimized geometry Values from VASP.

Geometry as Quantum ESPRESSO input:
```
&SYSTEM
  ibrav = 0, nat = 4, ntyp = 3
/
ATOMIC_SPECIES
Sm 150.36 Sm.upf
Ge 72.64 Ge.upf
Au 196.97 Au.upf
CELL_PARAMETERS angstrom
4.462 0.000 0.000
0.000 4.462 0.000
0.000 0.000 4.185
ATOMIC_POSITIONS angstrom
Sm 0.000 0.000 0.000
Ge 0.000 2.231 2.092
Ge 2.231 0.000 2.092
Au 2.231 2.231 0.000
```

Calculated values
energy above the lowest structure with this stoichiometry: 56 meV/atom
DOS(E_F): 1.519 states/eV/f.u.
magnetic moment: 0.0 μB/f.u.
E: -4.8050 eV/atom
ΔE_f: -0.50 eV per atom

=====

Th3C2O | PBE | optimized geometry Values from VASP.

Geometry as Quantum ESPRESSO input:
```
&SYSTEM
  ibrav = 0, nat = 6, ntyp = 3
/
ATOMIC_SPECIES
Th 232.04 Th.upf
C 12.01 C.upf
O 16.00 O.upf
CELL_PARAMETERS angstrom
-1.873 2.634 5.595
1.873 -2.634 5.595
1.873 2.634 -5.595
ATOMIC_POSITIONS angstrom
Th 0.000 0.000 0.000
Th 0.000 0.000 3.699
Th 0.000 0.000 7.491
C 1.873 0.000 1.890
C 0.000 2.634 3.704
O 0.000 2.634 0.000
```

Calculated values
DOS(E_F): 2.397 states/eV/f.u.
magnetic moment: 0.0 μB/f.u.
E: -8.7996 eV/atom
uncorrected formation energy: -1.189 eV/atom

=====

PmDy2Ga | PBE | optimized geometry Values from VASP.

Geometry as Quantum ESPRESSO input:
```
&SYSTEM
  ibrav = 0, nat = 4, ntyp = 3
/
ATOMIC_SPECIES
Pm 145.00 Pm.upf
Dy 162.50 Dy.upf
Ga 69.72 Ga.upf
CELL_PARAMETERS angstrom
0.000 3.785 3.785
3.785 0.000 3.785
3.785 3.785 0.000
ATOMIC_POSITIONS angstrom
Pm 0.000 0.000 0.000
Dy 1.892 1.892 1.892
Dy 5.677 5.677 5.677
Ga 3.785 3.785 3.785
```

Calculated values
energy above the lowest structure with this stoichiometry: 244 meV/atom
DOS(E_F): 5.807 states/eV/f.u.
magnetic moment: 1.3 μB/f.u.
E: -4.2853 eV/atom
ΔE_f: -0.04 eV per atom

=====

GaPbSe3 | PBE | optimized geometry Values from VASP.

Geometry as Quantum ESPRESSO input:
```
&SYSTEM
  ibrav = 0, nat = 5, ntyp = 3
/
ATOMIC_SPECIES
Ga 69.72 Ga.upf
Pb 207.20 Pb.upf
Se 78.96 Se.upf
CELL_PARAMETERS angstrom
5.034 0.000 0.000
0.000 5.034 0.000
0.000 0.000 5.034
ATOMIC_POSITIONS angstrom
Ga 0.000 0.000 0.000
Pb 2.517 2.517 2.517
Se 0.000 0.000 2.517
Se 0.000 2.517 0.000
Se 2.517 0.000 0.000
```

Calculated values
energy above the lowest structure with this stoichiometry: 388 meV/atom
DOS(E_F): 2.375 states/eV/f.u.
magnetic moment: 0.0 μB/f.u.
E: -3.5389 eV/atom
uncorrected formation energy: -0.101 eV/atom

=====

MgSb2Pb | PBE | optimized geometry Values from VASP.

Geometry as Quantum ESPRESSO input:
```
&SYSTEM
  ibrav = 0, nat = 4, ntyp = 3
/
ATOMIC_SPECIES
Mg 24.30 Mg.upf
Sb 121.76 Sb.upf
Pb 207.20 Pb.upf
CELL_PARAMETERS angstrom
-2.121 2.650 4.890
2.121 -2.650 4.890
2.121 2.650 -4.890
ATOMIC_POSITIONS angstrom
Mg 0.000 0.000 0.000
Sb 2.121 0.000 2.268
Sb 0.000 2.650 2.622
Pb 0.000 0.000 4.890
```

Calculated values
energy above the lowest structure with this stoichiometry: 69 meV/atom
DOS(E_F): 1.835 states/eV/f.u.
magnetic moment: 0.0 μB/f.u.
E: -3.3765 eV/atom
uncorrected formation energy: 0.010 eV/atom

=====

Tm12In5Hg2 | PBE | optimized geometry Values from VASP.

Geometry as Quantum ESPRESSO input:
```
&SYSTEM
  ibrav = 0, nat = 19, ntyp = 3
/
ATOMIC_SPECIES
Tm 168.93 Tm.upf
In 114.82 In.upf
Hg 200.59 Hg.upf
CELL_PARAMETERS angstrom
8.563 -3.544 0.000
8.563 3.544 0.000
-1.249 0.000 8.933
ATOMIC_POSITIONS angstrom
Tm -0.121 0.000 1.677
Tm 4.739 1.799 8.840
Tm 5.113 1.710 5.196
Tm 11.139 1.799 0.093
Tm 10.765 1.710 3.737
Tm 7.422 0.000 2.724
Tm 8.456 0.000 6.209
Tm 5.113 -1.710 5.196
Tm 4.739 -1.799 8.840
Tm 10.765 -1.710 3.737
Tm 11.139 -1.799 0.093
Tm 15.999 0.000 7.255
In 2.521 0.000 6.573
In 4.339 0.000 2.253
In 8.563 0.000 0.000
In 11.539 0.000 6.680
In 13.357 0.000 2.360
Hg 7.939 2.198 4.466
Hg 7.939 -2.198 4.466
```

Calculated values
DOS(E_F): 19.130 states/eV/f.u.
magnetic moment: 0.0 μB/f.u.
E: -3.7579 eV/atom
ΔE_f: -0.18 eV per atom

=====

KAl2Pt | PBE | optimized geometry Values from VASP.

Geometry as Quantum ESPRESSO input:
```
&SYSTEM
  ibrav = 0, nat = 4, ntyp = 3
/
ATOMIC_SPECIES
K 39.10 K.upf
Al 26.98 Al.upf
Pt 195.08 Pt.upf
CELL_PARAMETERS angstrom
-1.403 2.866 5.549
1.403 -2.866 5.549
1.403 2.866 -5.549
ATOMIC_POSITIONS angstrom
K 0.000 0.000 0.000
Al 1.403 0.000 3.397
Al 0.000 2.866 2.152
Pt 0.000 0.000 5.549
```

Calculated values
DOS(E_F): 1.571 states/eV/f.u.
magnetic moment: 0.0 μB/f.u.
E: -3.8280 eV/atom
ΔE_f: -0.17 eV per atom

=====

TlTcPt2 | PBE | optimized geometry Values from VASP.

Geometry as Quantum ESPRESSO input:
```
&SYSTEM
  ibrav = 0, nat = 4, ntyp = 3
/
ATOMIC_SPECIES
Tl 204.38 Tl.upf
Tc 98.00 Tc.upf
Pt 195.08 Pt.upf
CELL_PARAMETERS angstrom
3.304 0.000 0.000
0.000 3.304 0.000
0.000 0.000 6.318
ATOMIC_POSITIONS angstrom
Tl 0.000 0.000 0.000
Tc 1.652 1.652 4.503
Pt 0.000 0.000 3.215
Pt 1.652 1.652 1.669
```

Calculated values
energy above the lowest structure with this stoichiometry: 179 meV/atom
DOS(E_F): 3.671 states/eV/f.u.
magnetic moment: 0.0 μB/f.u.
E: -5.9350 eV/atom
ΔE_f: 0.27 eV per atom

=====

Copy entry 8 word for word.
TlTcPt2 | PBE | optimized geometry Values from VASP.

Geometry as Quantum ESPRESSO input:
```
&SYSTEM
  ibrav = 0, nat = 4, ntyp = 3
/
ATOMIC_SPECIES
Tl 204.38 Tl.upf
Tc 98.00 Tc.upf
Pt 195.08 Pt.upf
CELL_PARAMETERS angstrom
3.304 0.000 0.000
0.000 3.304 0.000
0.000 0.000 6.318
ATOMIC_POSITIONS angstrom
Tl 0.000 0.000 0.000
Tc 1.652 1.652 4.503
Pt 0.000 0.000 3.215
Pt 1.652 1.652 1.669
```

Calculated values
energy above the lowest structure with this stoichiometry: 179 meV/atom
DOS(E_F): 3.671 states/eV/f.u.
magnetic moment: 0.0 μB/f.u.
E: -5.9350 eV/atom
ΔE_f: 0.27 eV per atom